DFT (PBE) results for K2AuF4 after structural relaxation.

## Properties
Total magnetization, μB per cell: 2.121
Offset from the most stable computed form, eV/atom: 0.114
E_form (uncorrected), eV per formula unit: -13.1
Space-group type: No. 11

Unit cell a=7.0354 b=5.7199 c=7.0563 alpha=90.00 beta=115.92 gamma=90.00
Last column: magnetic moment on the atom in μB.
Sites, in units of the cell vectors:
K  0.6317  0.7500  0.9818  0.00
K  0.3683  0.2500  0.0182  0.00
K  0.0150  0.2500  0.3683  0.00
K  0.9850  0.7500  0.6317  0.00
Au  0.3446  0.7500  0.3443  0.63
Au  0.6554  0.2500  0.6557  0.63
F  0.6318  0.4999  0.3698  0.08
F  0.2733  0.7500  0.0156  0.12
F  0.7267  0.2500  0.9844  0.12
F  0.6318  0.0001  0.3698  0.08
F  0.9852  0.2500  0.7281  0.12
F  0.3682  0.9999  0.6302  0.08
F  0.3682  0.5001  0.6302  0.08
F  0.0148  0.7500  0.2719  0.12

***

DFT (PBE) results for CeDy2ErTm after structural relaxation.

## Properties
Total magnetization, μB per cell: 3.211
Space-group type: No. 51
E_form, eV/atom: 0.306

Unit cell a=7.1686 b=7.6220 c=5.8005 alpha=90.00 beta=90.00 gamma=90.00
Last column: magnetic moment on the atom in μB.
Sites, in units of the cell vectors:
Ce  0.0000  0.0000  0.0000  1.00
Ce  0.0000  0.0000  0.5000  1.00
Dy  0.6792  0.7069  0.7500  0.07
Dy  0.6792  0.2931  0.7500  0.07
Dy  0.3209  0.7069  0.2500  0.07
Dy  0.3208  0.2931  0.2500  0.07
Er  0.1542  0.5000  0.7500  0.00
Er  0.8458  0.5000  0.2500  0.00
Tm  0.6117  0.0000  0.2500  0.12
Tm  0.3883  0.0000  0.7500  0.12

***

DFT (PBE) results for KAlAs2O6 after structural relaxation.

## Properties
Total magnetization, μB per cell: 0.000
E_form (uncorrected), eV per formula unit: -17.1
Space-group type: No. 15

Unit cell a=7.1484 b=7.5175 c=7.5175 alpha=80.65 beta=63.41 gamma=63.41
Sites, in units of the cell vectors:
K  0.2500  0.7998  0.2002
K  0.7500  0.2002  0.7998
Al  0.2500  0.2073  0.7927
Al  0.7500  0.7927  0.2073
As  0.3704  0.7607  0.6582
As  0.1296  0.3418  0.2393
As  0.6296  0.2393  0.3418
As  0.8704  0.6582  0.7607
O  0.2038  0.9966  0.7843
O  0.2962  0.2157  0.0034
O  0.7962  0.0034  0.2157
O  0.7038  0.7843  0.9966
O  0.4861  0.8107  0.4044
O  0.0139  0.5956  0.1893
O  0.5139  0.1893  0.5956
O  0.9861  0.4044  0.8107
O  0.1139  0.7238  0.6469
O  0.3861  0.3531  0.2762
O  0.8861  0.2762  0.3531
O  0.6139  0.6469  0.7238

***

DFT (PBE) results for NaSr2Sn2As4 after structural relaxation.

## Properties
Total magnetization, μB per cell: 0.000
Space-group type: No. 12
E_form, eV/atom: -0.575

Unit cell a=4.8480 b=8.2102 c=6.8290 alpha=105.92 beta=90.00 gamma=107.17
Sites, in units of the cell vectors:
Na  0.0000  0.0000  0.0000
Sr  0.8687  0.7373  0.4251
Sr  0.1313  0.2627  0.5749
Sn  0.3422  0.6845  0.9822
Sn  0.6578  0.3155  0.0178
As  0.7815  0.5629  0.7889
As  0.2185  0.4371  0.2111
As  0.5018  0.0036  0.3124
As  0.4982  0.9964  0.6876

***

DFT (PBE) results for LaY2Si after structural relaxation.

## Properties
Total magnetization, μB per cell: 0.000
E_form (uncorrected), eV per formula unit: -0.7
Space-group type: No. 10

Unit cell a=4.6547 b=3.8503 c=6.7883 alpha=69.86 beta=90.00 gamma=90.00
Sites, in units of the cell vectors:
La  0.5000  0.2500  0.2500
Si  0.5000  0.7500  0.7500
Y  0.0000  0.9165  0.9663
Y  0.0000  0.5835  0.5337

***

DFT (PBE) results for KCa2Au after structural relaxation.

## Properties
Total magnetization, μB per cell: 0.000
Offset from the most stable computed form, eV/atom: 0.399
Space-group type: No. 216
E_form, eV/atom: 0.040

Unit cell a=5.7566 b=5.7566 c=5.7566 alpha=60.00 beta=60.00 gamma=60.00
Sites, in units of the cell vectors:
Au  0.5000  0.5000  0.5000
Ca  0.0000  0.0000  0.0000
Ca  0.2500  0.2500  0.2500
K  0.7500  0.7500  0.7500